1.
A plane-wave DFT calculation with PBE was carried out for PrEr2ScAu4 after structural relaxation.

Results
Formation enthalpy at 0 K: -0.811 eV/atom
DOS(E_F): 0.582 states/eV/atom
Total energy: -4.9789 eV per atom
Volume: 23.03 Å³/atom

abc: 4.9949 4.9949 25.5765
angles: 90.00 90.00 120.00
Last column: nearest neighbours and their distance in Å.
Space group R-3m (No. 166, hexagonal axes)
Asymmetric unit:
Pr: 0.0000 0.0000 0.0000 x3  8 Au 3.20-3.31
Er: 0.0000 0.0000 0.2460 x6  7 Au 2.98-3.08
Sc: 0.0000 0.0000 0.5000 x3  8 Au 2.87-3.04
Au: 0.0000 0.0000 0.1295 x6  4 Er 2.98-3.08, 3 Sc 3.04, 1 Pr 3.31
Au: 0.0000 0.0000 0.3876 x6  1 Sc 2.87, 3 Er 3.01, 3 Pr 3.20

***

2.
A plane-wave DFT calculation with PBE was carried out for PrErSnAu after structural relaxation.

Results
Formation enthalpy at 0 K: -0.690 eV/atom
DOS(E_F): 0.947 states/eV/atom
Total energy: -4.8456 eV per atom
Volume: 26.42 Å³/atom

abc: 7.5051 7.5051 7.5051
angles: 90.00 90.00 90.00
Last column: nearest neighbours and their distance in Å.
Space group F-43m (No. 216)
Asymmetric unit:
Pr: 0.0000 0.0000 0.0000 x4  4 Au 3.25, 4 Sn 3.25
Er: 0.0000 0.0000 0.5000 x4  4 Sn 3.25, 4 Au 3.25
Sn: 0.2500 0.2500 0.7500 x4  4 Pr 3.25, 4 Er 3.25
Au: 0.2500 0.2500 0.2500 x4  4 Pr 3.25, 4 Er 3.25